Entry 1:
PBE InAuNF2, optimized geometry; ρ = 7.710 g/cm3; density of states at the Fermi level = 1.335 states/eV/cell; magnetic moment = 1.0 Bohr magnetons per cell; energy relative to the lowest polymorph listed for this composition = 0.000 eV per atom; ΔE_f (raw) = -0.341 eV per atom; total DFT energy (no corrections) = -19.791 eV per cell
1.0
-0.484 0.448 -4.158
-3.873 -1.629 0.275
-1.658 4.049 0.629
Au N F In
1 1 2 1
Cartesian
-3.007 1.434 -1.627
-0.829 2.024 0.315
-0.242 0.224 -2.079
-1.936 -0.814 0.138
0.000 0.000 0.000

Entry 2:
PBE InAuO2F, optimized geometry; ρ = 8.068 g/cm3; density of states at the Fermi level = 2.012 states/eV/cell; magnetic moment = 1.0 Bohr magnetons per cell; ΔE_f (raw) = -0.576 eV per atom; total DFT energy (no corrections) = -20.685 eV per cell
1.0
4.227 0.000 0.000
0.000 4.227 0.000
0.000 0.000 4.178
O In Au F
2 1 1 1
Cartesian
0.000 2.114 0.000
2.114 0.000 0.000
0.000 0.000 0.000
2.114 2.114 2.089
0.000 0.000 2.089

Entry 3:
PBE InAuOF2, optimized geometry; ρ = 7.132 g/cm3; density of states at the Fermi level = 2.869 states/eV/cell; magnetic moment = 0.7 Bohr magnetons per cell; energy relative to the lowest polymorph listed for this composition = 0.430 eV per atom; ΔE_f (raw) = -0.712 eV per atom; total DFT energy (no corrections) = -18.279 eV per cell
1.0
4.634 0.000 0.000
0.000 4.634 0.000
0.000 0.000 3.966
Au F In O
1 2 1 1
Cartesian
0.000 0.000 0.000
2.317 0.000 0.000
0.000 2.317 0.000
2.317 2.317 1.983
0.000 0.000 1.983

- Number 2 is which compound?
  InAuO2F

- What is the magnetic moment in the third record?
  0.7 Bohr magnetons per cell

- Which value of ΔE_f (raw) does entry 3 give?
  -0.712 eV per atom

Repeat the second record exactly.
PBE InAuO2F, optimized geometry; ρ = 8.068 g/cm3; density of states at the Fermi level = 2.012 states/eV/cell; magnetic moment = 1.0 Bohr magnetons per cell; ΔE_f (raw) = -0.576 eV per atom; total DFT energy (no corrections) = -20.685 eV per cell
1.0
4.227 0.000 0.000
0.000 4.227 0.000
0.000 0.000 4.178
O In Au F
2 1 1 1
Cartesian
0.000 2.114 0.000
2.114 0.000 0.000
0.000 0.000 0.000
2.114 2.114 2.089
0.000 0.000 2.089